This record from Alexandria via LeMat-Bulk describes a geometry-optimized Pa8Tc5Rh structure. The functional is GGA-PBE.

Properties
Its total magnetization is 0.00 μB per atom. The crystal system is tetragonal. Its formation energy is -0.2297 eV per atom. As for the space group: I-4 (82). The electronic total energy is -9.883 eV per atom.

POSCAR file:
```
Pa8Tc5Rh
1.0
-6.655 2.274 -2.194
1.328 -6.648 -2.884
0.271 -0.480 7.346
Pa Tc Rh
8 5 1
direct
0.130 0.761 0.998 Pa
0.002 0.132 0.763 Pa
0.737 0.246 0.368 Pa
0.632 0.369 0.877 Pa
0.508 0.631 0.263 Pa
0.631 0.868 0.870 Pa
0.237 0.239 0.369 Pa
0.123 0.754 0.492 Pa
0.017 0.389 0.136 Tc
0.864 0.881 0.253 Tc
0.747 0.611 0.629 Tc
0.500 0.000 0.500 Tc
0.371 0.119 0.983 Tc
0.250 0.500 0.750 Rh
```